VASP calculation (PBE) on YScSi after structural relaxation.

Summary:
The space group is P3m1 (156). The calculation puts the mass density at 3.832 g/cm³. The energy above the most stable polymorph in this dataset comes out at 243 meV per atom.

a b c (Å): 4.513 4.513 3.979
angles (deg): 90.00 90.00 120.00
Atoms (fractional coordinates):
Y: 0.000 0.000 0.000
Sc: 0.333 0.667 0.485
Si: 0.667 0.333 0.591



VASP calculation (PBE) on TmTaRu after structural relaxation.

Summary:
The space group is P2_1/m (11). The calculation puts the mass density at 11.768 g/cm³. The formation energy comes out at -0.1517 eV/atom. The energy above the most stable polymorph in this dataset comes out at 53 meV per atom.

a b c (Å): 5.472 4.407 5.478
angles (deg): 90.00 105.54 90.00
Atoms (fractional coordinates):
Tm: 0.074 0.250 0.265
Tm: 0.926 0.750 0.735
Ta: 0.465 0.250 0.840
Ta: 0.535 0.750 0.160
Ru: 0.382 0.750 0.596
Ru: 0.618 0.250 0.404



VASP calculation (PBE) on LaInRh after structural relaxation.

Summary:
The space group is P-62m (189). The calculation puts the mass density at 8.390 g/cm³. The formation energy comes out at -0.7399 eV/atom.

a b c (Å): 7.700 7.700 4.124
angles (deg): 90.00 90.00 120.00
Atoms (fractional coordinates):
La: 0.000 0.587 0.000
La: 0.413 0.413 0.000
La: 0.587 0.000 0.000
In: 0.000 0.247 0.500
In: 0.247 0.000 0.500
In: 0.753 0.753 0.500
Rh: 0.000 0.000 0.000
Rh: 0.333 0.667 0.500
Rh: 0.667 0.333 0.500



VASP calculation (PBE) on K2TiBi after structural relaxation.

Summary:
The space group is I-42d (122). The calculation puts the mass density at 4.200 g/cm³. The formation energy comes out at 0.4812 eV/atom.

a b c (Å): 4.546 4.546 25.641
angles (deg): 90.00 90.00 90.00
Atoms (fractional coordinates):
K: 0.245 0.250 0.125
K: 0.250 0.745 0.375
K: 0.250 0.755 0.875
K: 0.255 0.250 0.625
K: 0.745 0.750 0.625
K: 0.750 0.245 0.875
K: 0.750 0.255 0.375
K: 0.755 0.750 0.125
Ti: 0.000 0.000 0.500
Ti: 0.000 0.500 0.750
Ti: 0.500 0.000 0.250
Ti: 0.500 0.500 0.000
Bi: 0.000 0.000 0.000
Bi: 0.000 0.500 0.250
Bi: 0.500 0.000 0.750
Bi: 0.500 0.500 0.500



VASP calculation (PBE) on CsMnSbI2 after structural relaxation.

Summary:
For the final energy, the calculation gives -0.283 Ry per atom. The space group is P4/mmm (123). The calculation puts the mass density at 4.824 g/cm³.

a b c (Å): 6.108 6.108 5.198
angles (deg): 90.00 90.00 90.00
Atoms (fractional coordinates):
Cs: 0.000 0.000 0.000
Mn: 0.500 0.500 0.500
Sb: 0.500 0.500 0.000
I: 0.000 0.500 0.500
I: 0.500 0.000 0.500



VASP calculation (PBE) on Ac2Pr2Tl after structural relaxation.

Summary:
The space group is C2/m (12). The calculation puts the mass density at 8.214 g/cm³. The formation energy comes out at -0.0433 eV/atom.

a b c (Å): 6.851 6.851 9.046
angles (deg): 105.80 105.80 99.28
Atoms (fractional coordinates):
Ac: 0.114 0.738 0.778
Ac: 0.262 0.886 0.222
Ac: 0.738 0.114 0.778
Ac: 0.886 0.262 0.222
Pr: 0.222 0.222 0.620
Pr: 0.350 0.350 0.080
Pr: 0.650 0.650 0.920
Pr: 0.778 0.778 0.380
Tl: 0.347 0.653 0.500
Tl: 0.653 0.347 0.500



Q: Among the records above, which one has the lowest mass density?
A: YScSi



Repeat the fifth record exactly.
VASP calculation (PBE) on CsMnSbI2 after structural relaxation.

Summary:
For the final energy, the calculation gives -0.283 Ry per atom. The space group is P4/mmm (123). The calculation puts the mass density at 4.824 g/cm³.

a b c (Å): 6.108 6.108 5.198
angles (deg): 90.00 90.00 90.00
Atoms (fractional coordinates):
Cs: 0.000 0.000 0.000
Mn: 0.500 0.500 0.500
Sb: 0.500 0.500 0.000
I: 0.000 0.500 0.500
I: 0.500 0.000 0.500